A relaxed structure of PmTm5Mg3, computed with PBE.

The structure in POSCAR format:
```
PmTm5Mg3
1.0
-2.0675 -6.9336 -0.1486
6.2959 -3.5683 0.0048
1.0112 -3.0405 11.5744
Pm Tm Mg
2 10 6
direct
0.1168 0.1168 0.7343 Pm
0.8832 0.8832 0.2657 Pm
0.9960 0.3623 0.2004 Tm
0.3095 0.6905 0.0000 Tm
0.7254 0.7254 0.0677 Tm
0.5875 0.5875 0.3680 Tm
0.4125 0.4125 0.6320 Tm
0.2746 0.2746 0.9323 Tm
0.3623 0.9960 0.2004 Tm
0.6905 0.3095 0.0000 Tm
0.0040 0.6377 0.7996 Tm
0.6377 0.0040 0.7996 Tm
0.5766 0.5766 0.7884 Mg
0.7343 0.7343 0.5634 Mg
0.0000 0.0000 0.0000 Mg
0.0000 0.0000 0.5000 Mg
0.4234 0.4234 0.2116 Mg
0.2657 0.2657 0.4366 Mg
```

The crystal system is monoclinic. Its formation energy is 0.37 eV per atom. The volume is 32.9 Å³/atom.